Crystalline NaLiCoTc at its relaxed geometry, computed with GGA-PBE.

```
NaLiCoTc
1.0
0.000 3.007 3.007
3.007 0.000 3.007
3.007 3.007 0.000
Na Li Co Tc
1 1 1 1
Direct
0.000 0.000 0.000
0.250 0.250 0.250
0.750 0.750 0.750
0.500 0.500 0.500
```

Output
The value obtained for the offset from the most stable computed form is 0.003 eV per atom.